## P
Tb8Pm2Sc, optimized geometry, DFT GGA-PBE; calculated volume = 31.6 A^3/atom; crystal system = monoclinic; SG = C2/m, No. 12
1.0
9.0490 -2.5099 0.0000
9.0490 2.5099 0.0000
-2.1038 0.0000 7.6640
Tb Pm Sc
8 2 1
direct
0.0444 0.0444 0.2298
0.1337 0.1337 0.6762
0.3199 0.3199 0.5911
0.4108 0.4108 0.0515
0.5892 0.5892 0.9485
0.6801 0.6801 0.4089
0.8663 0.8663 0.3238
0.9556 0.9556 0.7702
0.2262 0.2262 0.1366
0.7738 0.7738 0.8634
0.5000 0.5000 0.5000


## Q
Tb8Pm2Sc, optimized geometry, DFT GGA-PBE; calculated volume = 32.3 A^3/atom; crystal system = monoclinic; SG = C2/m, No. 12
1.0
4.4553 -8.0018 0.0000
4.4553 8.0018 0.0000
-3.0803 0.0000 4.9766
Tb Pm Sc
8 2 1
direct
0.1001 0.3271 0.6694
0.2040 0.7960 0.0000
0.3271 0.1001 0.6694
0.4143 0.4143 0.2006
0.5857 0.5857 0.7994
0.6729 0.8999 0.3306
0.7960 0.2040 0.0000
0.8999 0.6729 0.3306
0.3062 0.6938 0.5000
0.6938 0.3062 0.5000
0.0000 0.0000 0.0000


Quick ranking, most stable first: P, Q.


## P
Tb2PmSc2, optimized geometry, DFT GGA-PBE; calculated volume = 29.1 A^3/atom; crystal system = triclinic; SG = P-1, No. 2
1.0
3.4794 0.0000 0.0000
1.7310 5.6807 0.0000
1.7386 1.4907 7.3585
Tb Pm Sc
2 1 2
direct
0.0982 0.2079 0.0963
0.9018 0.7921 0.9037
0.5000 0.0000 0.5000
0.2982 0.5966 0.3064
0.7018 0.4034 0.6936


## Q
Tb2PmSc2, optimized geometry, DFT GGA-PBE; calculated volume = 33.6 A^3/atom; crystal system = orthorhombic; SG = Fddd, No. 70
1.0
0.0000 5.5436 10.6509
2.8415 0.0000 10.6509
2.8415 5.5436 0.0000
Tb Pm Sc
4 2 4
direct
0.0404 0.7096 0.0404
0.2904 0.9596 0.2904
0.7096 0.0404 0.7096
0.9596 0.2904 0.9596
0.3750 0.3750 0.3750
0.6250 0.6250 0.6250
0.0000 0.5000 0.5000
0.5000 0.0000 0.5000
0.5000 0.5000 0.0000
0.5000 0.5000 0.5000


Quick ranking, most stable first: P, Q.


## P
TbPm7Sc2, optimized geometry, DFT GGA-PBE; calculated volume = 32.1 A^3/atom; crystal system = triclinic; SG = P-1, No. 2
1.0
3.5289 0.0000 0.0000
-1.7619 8.4110 0.0000
-0.0100 -3.7734 10.8312
Tb Pm Sc
1 7 2
direct
0.0000 0.0000 0.0000
0.0000 0.0000 0.5000
0.1084 0.2166 0.8034
0.2874 0.5742 0.3753
0.4127 0.8248 0.7110
0.5873 0.1752 0.2890
0.7126 0.4258 0.6247
0.8916 0.7834 0.1966
0.3073 0.6166 0.9267
0.6927 0.3834 0.0733


## Q
TbPm7Sc2, optimized geometry, DFT GGA-PBE; calculated volume = 38.6 A^3/atom; crystal system = orthorhombic; SG = Cmmm, No. 65
1.0
4.4807 -7.7019 0.0000
4.4807 7.7019 0.0000
0.0000 0.0000 5.5962
Tb Pm Sc
1 7 2
direct
0.0000 0.0000 0.0000
0.0618 0.3035 0.5000
0.2468 0.7532 0.0000
0.3035 0.0618 0.5000
0.5000 0.5000 0.5000
0.6965 0.9382 0.5000
0.7532 0.2468 0.0000
0.9382 0.6965 0.5000
0.2967 0.7033 0.5000
0.7033 0.2967 0.5000


Quick ranking, most stable first: P, Q.